# 1
The following is a DFT calculation (PBEsol) of a geometry-optimized LiTe2Br structure.

```
data_LiTe2Br
_cell_length_a 3.944
_cell_length_b 3.944
_cell_length_c 8.384
_cell_angle_alpha 90.00
_cell_angle_beta 90.00
_cell_angle_gamma 90.00
_space_group_name_H-M_alt 'P 4 m m'
_space_group_IT_number 99
loop_
_space_group_symop_operation_xyz
'x,y,z'
'-y,x,z'
'-x,-y,z'
'y,-x,z'
'-x,y,z'
'y,x,z'
'x,-y,z'
'-y,-x,z'
loop_
_atom_site_label
_atom_site_type_symbol
_atom_site_fract_x
_atom_site_fract_y
_atom_site_fract_z
Li1 Li 0.000 0.000 0.000
Te1 Te 0.000 0.000 0.630
Te2 Te 0.500 0.500 0.517
Br1 Br 0.500 0.500 0.014
```

Properties
- Energy relative to the elements, uncorrected: -0.60 eV/atom

# 2
The following is a DFT calculation (PBEsol) of a geometry-optimized Li4Cr3GaO8 structure.

```
data_Li4Cr3GaO8
_cell_length_a 5.030
_cell_length_b 5.043
_cell_length_c 5.823
_cell_angle_alpha 90.00
_cell_angle_beta 106.82
_cell_angle_gamma 99.62
_space_group_name_H-M_alt 'P -1'
_space_group_IT_number 2
loop_
_space_group_symop_operation_xyz
'x,y,z'
'-x,-y,-z'
loop_
_atom_site_label
_atom_site_type_symbol
_atom_site_fract_x
_atom_site_fract_y
_atom_site_fract_z
Li1 Li 0.000 0.248 0.126
Li2 Li 0.002 0.750 0.376
Cr1 Cr 0.500 0.000 0.250
Cr2 Cr 0.500 0.500 0.500
Ga1 Ga 0.500 0.500 0.000
O1 O 0.273 0.127 0.943
O2 O 0.274 0.629 0.195
O3 O 0.274 0.630 0.692
O4 O 0.278 0.130 0.445
```

Properties
- Energy relative to the elements, uncorrected: -2.03 eV/atom

# 3
The following is a DFT calculation (PBEsol) of a geometry-optimized ZnFe2P structure.

```
data_ZnFe2P
_cell_length_a 3.132
_cell_length_b 4.014
_cell_length_c 8.012
_cell_angle_alpha 90.00
_cell_angle_beta 90.00
_cell_angle_gamma 90.00
_space_group_name_H-M_alt 'C m m 2'
_space_group_IT_number 35
loop_
_space_group_symop_operation_xyz
'x,y,z'
'-x,-y,z'
'-x,y,z'
'x,-y,z'
'x+1/2,y+1/2,z'
'-x+1/2,-y+1/2,z'
'-x+1/2,y+1/2,z'
'x+1/2,-y+1/2,z'
loop_
_atom_site_label
_atom_site_type_symbol
_atom_site_fract_x
_atom_site_fract_y
_atom_site_fract_z
Zn1 Zn 0.000 0.000 0.000
Fe1 Fe 0.000 0.000 0.472
Fe2 Fe 0.000 0.500 0.239
P1 P 0.000 0.500 0.679
```

Properties
- Calculated formation energy: 10.1 kJ/mol of atoms

# 4
The following is a DFT calculation (PBEsol) of a geometry-optimized Mg2ScMn structure.

```
data_Mg2ScMn
_cell_length_a 6.738
_cell_length_b 6.738
_cell_length_c 6.738
_cell_angle_alpha 90.00
_cell_angle_beta 90.00
_cell_angle_gamma 90.00
_space_group_name_H-M_alt 'F m -3 m'
_space_group_IT_number 225
_space_group_name_Hall '-F 4 2 3'
loop_
_atom_site_label
_atom_site_type_symbol
_atom_site_fract_x
_atom_site_fract_y
_atom_site_fract_z
Mg1 Mg 0.250 0.250 0.250
Sc1 Sc 0.000 0.000 0.000
Mn1 Mn 0.000 0.000 0.500
```

Properties
- Calculated formation energy: 21.1 kJ/mol of atoms

# 5
The following is a DFT calculation (PBEsol) of a geometry-optimized Li3VF6 structure.

```
data_Li3VF6
_cell_length_a 5.025
_cell_length_b 5.120
_cell_length_c 9.054
_cell_angle_alpha 90.00
_cell_angle_beta 123.29
_cell_angle_gamma 90.00
_space_group_name_H-M_alt 'P 1 21/c 1'
_space_group_IT_number 14
loop_
_space_group_symop_operation_xyz
'x,y,z'
'-x,-y,-z'
'-x,y+1/2,-z+1/2'
'x,-y+1/2,z+1/2'
loop_
_atom_site_label
_atom_site_type_symbol
_atom_site_fract_x
_atom_site_fract_y
_atom_site_fract_z
Li1 Li 0.000 0.000 0.000
Li2 Li 0.239 0.036 0.736
V1 V 0.500 0.000 0.500
F1 F 0.115 0.176 0.441
F2 F 0.252 0.685 0.415
F3 F 0.398 0.091 0.265
```

Properties
- Energy relative to the elements, uncorrected: -2.91 eV/atom

# 6
The following is a DFT calculation (PBEsol) of a geometry-optimized InSi2Te structure.

```
data_InSi2Te
_cell_length_a 4.873
_cell_length_b 4.873
_cell_length_c 6.981
_cell_angle_alpha 90.00
_cell_angle_beta 90.00
_cell_angle_gamma 90.00
_space_group_name_H-M_alt 'I 4/m m m'
_space_group_IT_number 139
_space_group_name_Hall '-I 4 2'
loop_
_atom_site_label
_atom_site_type_symbol
_atom_site_fract_x
_atom_site_fract_y
_atom_site_fract_z
In1 In 0.000 0.000 0.000
Si1 Si 0.000 0.500 0.250
Te1 Te 0.000 0.000 0.500
```

Properties
- Energy relative to the elements, uncorrected: 0.48 eV/atom

# 7
The following is a DFT calculation (PBEsol) of a geometry-optimized SrHfIN2 structure.

```
data_SrHfIN2
_cell_length_a 4.306
_cell_length_b 4.306
_cell_length_c 5.570
_cell_angle_alpha 90.00
_cell_angle_beta 90.00
_cell_angle_gamma 90.00
_space_group_name_H-M_alt 'P 4/m m m'
_space_group_IT_number 123
_space_group_name_Hall '-P 4 2'
loop_
_atom_site_label
_atom_site_type_symbol
_atom_site_fract_x
_atom_site_fract_y
_atom_site_fract_z
Sr1 Sr 0.000 0.000 0.000
Hf1 Hf 0.500 0.500 0.500
I1 I 0.500 0.500 0.000
N1 N 0.000 0.500 0.500
```

Properties
- Energy relative to the elements, uncorrected: -0.47 eV/atom

# 8
The following is a DFT calculation (PBEsol) of a geometry-optimized LiZnPO4 structure.

```
data_LiZnPO4
_cell_length_a 13.6777
_cell_length_b 13.6777
_cell_length_c 9.0920
_cell_angle_alpha 90.00
_cell_angle_beta 90.00
_cell_angle_gamma 120.00
_space_group_name_H-M_alt 'R 3'
_space_group_IT_number 146
_space_group_name_Hall 'R 3'
loop_
_atom_site_label
_atom_site_type_symbol
_atom_site_fract_x
_atom_site_fract_y
_atom_site_fract_z
Li1 Li 0.0134 0.8064 0.0000
Li2 Li 0.1412 0.4540 0.1639
Zn1 Zn 0.0197 0.8067 0.3326
Zn2 Zn 0.1391 0.4584 0.4973
P1 P 0.0119 0.8022 0.6665
P2 P 0.1368 0.4564 0.8316
O1 O 0.0054 0.6859 0.6648
O2 O 0.0183 0.3495 0.8338
O3 O 0.0717 0.8679 0.8074
O4 O 0.0760 0.8713 0.5281
O5 O 0.1071 0.2137 0.1644
O6 O 0.2018 0.4601 0.6902
O7 O 0.2046 0.4591 0.9697
O8 O 0.2183 0.1077 0.6652
```

Properties
- Energy relative to the elements, uncorrected: -2.15 eV/atom

# 9
The following is a DFT calculation (PBEsol) of a geometry-optimized TlMoRh3 structure.

```
data_TlMoRh3
_cell_length_a 4.639
_cell_length_b 4.639
_cell_length_c 4.639
_cell_angle_alpha 90.00
_cell_angle_beta 90.00
_cell_angle_gamma 90.00
_space_group_name_H-M_alt 'P m -3 m'
_space_group_IT_number 221
_space_group_name_Hall '-P 4 2 3'
loop_
_atom_site_label
_atom_site_type_symbol
_atom_site_fract_x
_atom_site_fract_y
_atom_site_fract_z
Tl1 Tl 0.000 0.000 0.000
Mo1 Mo 0.500 0.500 0.500
Rh1 Rh 0.000 0.500 0.500
```

Properties
- Calculated formation energy: 101.3 kJ/mol of atoms

# 10
The following is a DFT calculation (PBEsol) of a geometry-optimized Li2BeBrCl structure.

```
data_Li2BeBrCl
_cell_length_a 4.359
_cell_length_b 4.359
_cell_length_c 6.469
_cell_angle_alpha 90.00
_cell_angle_beta 90.00
_cell_angle_gamma 90.00
_space_group_name_H-M_alt 'P 4/m m m'
_space_group_IT_number 123
_space_group_name_Hall '-P 4 2'
loop_
_atom_site_label
_atom_site_type_symbol
_atom_site_fract_x
_atom_site_fract_y
_atom_site_fract_z
Li1 Li 0.000 0.500 0.000
Be1 Be 0.000 0.000 0.500
Br1 Br 0.500 0.500 0.500
Cl1 Cl 0.500 0.500 0.000
```

Properties
- Energy relative to the elements, uncorrected: -0.17 eV/atom

# 11
The following is a DFT calculation (PBEsol) of a geometry-optimized BeTcTe2N structure.

```
data_BeTcTe2N
_cell_length_a 5.292
_cell_length_b 5.292
_cell_length_c 3.625
_cell_angle_alpha 90.00
_cell_angle_beta 90.00
_cell_angle_gamma 90.00
_space_group_name_H-M_alt 'P 4/m m m'
_space_group_IT_number 123
_space_group_name_Hall '-P 4 2'
loop_
_atom_site_label
_atom_site_type_symbol
_atom_site_fract_x
_atom_site_fract_y
_atom_site_fract_z
Be1 Be 0.000 0.000 0.000
Tc1 Tc 0.500 0.500 0.500
Te1 Te 0.000 0.500 0.500
N1 N 0.500 0.500 0.000
```

Properties
- Energy relative to the elements, uncorrected: 0.54 eV/atom

# 12
The following is a DFT calculation (PBEsol) of a geometry-optimized NiW structure.

```
data_NiW
_cell_length_a 3.6049
_cell_length_b 3.6049
_cell_length_c 5.3048
_cell_angle_alpha 90.00
_cell_angle_beta 90.00
_cell_angle_gamma 120.00
_space_group_name_H-M_alt 'P 63/m m c'
_space_group_IT_number 194
_space_group_name_Hall '-P 6c 2c'
loop_
_atom_site_label
_atom_site_type_symbol
_atom_site_fract_x
_atom_site_fract_y
_atom_site_fract_z
Ni1 Ni 0.3333 0.6667 0.2500
W1 W 0.0000 0.0000 0.0000
```

Properties
- Calculated formation energy: 87.8 kJ/mol of atoms

# 13
The following is a DFT calculation (PBEsol) of a geometry-optimized Ba2Sb2Te structure.

```
data_Ba2Sb2Te
_cell_length_a 4.365
_cell_length_b 4.365
_cell_length_c 18.740
_cell_angle_alpha 90.00
_cell_angle_beta 90.00
_cell_angle_gamma 90.00
_space_group_name_H-M_alt 'I 4/m m m'
_space_group_IT_number 139
_space_group_name_Hall '-I 4 2'
loop_
_atom_site_label
_atom_site_type_symbol
_atom_site_fract_x
_atom_site_fract_y
_atom_site_fract_z
Ba1 Ba 0.000 0.000 0.101
Sb1 Sb 0.000 0.500 0.250
Te1 Te 0.000 0.000 0.500
```

Properties
- Energy relative to the elements, uncorrected: -1.10 eV/atom

# 14
The following is a DFT calculation (PBEsol) of a geometry-optimized KBa4W structure.

```
data_KBa4W
_cell_length_a 10.351
_cell_length_b 10.351
_cell_length_c 10.351
_cell_angle_alpha 90.00
_cell_angle_beta 90.00
_cell_angle_gamma 90.00
_space_group_name_H-M_alt 'F -4 3 m'
_space_group_IT_number 216
_space_group_name_Hall 'F -4 2 3'
loop_
_atom_site_label
_atom_site_type_symbol
_atom_site_fract_x
_atom_site_fract_y
_atom_site_fract_z
K1 K 0.000 0.000 0.000
Ba1 Ba 0.123 0.123 0.623
W1 W 0.250 0.250 0.250
```

Properties
- Calculated formation energy: 123.8 kJ/mol of atoms

# 15
The following is a DFT calculation (PBEsol) of a geometry-optimized LiSnN2O structure.

```
data_LiSnN2O
_cell_length_a 4.193
_cell_length_b 4.193
_cell_length_c 4.067
_cell_angle_alpha 90.00
_cell_angle_beta 90.00
_cell_angle_gamma 90.00
_space_group_name_H-M_alt 'P 4/m m m'
_space_group_IT_number 123
_space_group_name_Hall '-P 4 2'
loop_
_atom_site_label
_atom_site_type_symbol
_atom_site_fract_x
_atom_site_fract_y
_atom_site_fract_z
Li1 Li 0.000 0.000 0.000
Sn1 Sn 0.500 0.500 0.500
N1 N 0.000 0.500 0.500
O1 O 0.500 0.500 0.000
```

Properties
- Energy relative to the elements, uncorrected: 0.49 eV/atom

# 16
The following is a DFT calculation (PBEsol) of a geometry-optimized In2AgS3Br structure.

```
data_In2AgS3Br
_cell_length_a 7.7614
_cell_length_b 7.7614
_cell_length_c 18.6180
_cell_angle_alpha 90.00
_cell_angle_beta 90.00
_cell_angle_gamma 120.00
_space_group_name_H-M_alt 'R -3 m'
_space_group_IT_number 166
_space_group_name_Hall '-R 3 2"'
loop_
_atom_site_label
_atom_site_type_symbol
_atom_site_fract_x
_atom_site_fract_y
_atom_site_fract_z
In1 In 0.0000 0.0000 0.0000
In2 In 0.0000 0.5000 0.5000
Ag1 Ag 0.0000 0.0000 0.4197
S1 S 0.0308 0.5154 0.7573
Br1 Br 0.0000 0.0000 0.2621
```

Properties
- Energy relative to the elements, uncorrected: -0.55 eV/atom

# 17
The following is a DFT calculation (PBEsol) of a geometry-optimized FeRuRh2 structure.

```
data_FeRuRh2
_cell_length_a 2.653
_cell_length_b 3.699
_cell_length_c 5.258
_cell_angle_alpha 90.00
_cell_angle_beta 90.00
_cell_angle_gamma 90.00
_space_group_name_H-M_alt 'P m m m'
_space_group_IT_number 47
loop_
_space_group_symop_operation_xyz
'x,y,z'
'-x,-y,-z'
'-x,-y,z'
'x,y,-z'
'x,-y,-z'
'-x,y,z'
'-x,y,-z'
'x,-y,z'
loop_
_atom_site_label
_atom_site_type_symbol
_atom_site_fract_x
_atom_site_fract_y
_atom_site_fract_z
Fe1 Fe 0.000 0.000 0.000
Ru1 Ru 0.000 0.000 0.500
Rh1 Rh 0.500 0.500 0.248
```

Properties
- Calculated formation energy: 3.2 kJ/mol of atoms

# 18
The following is a DFT calculation (PBEsol) of a geometry-optimized SrLiHgPd2 structure.

```
data_SrLiHgPd2
_cell_length_a 5.083
_cell_length_b 5.083
_cell_length_c 5.283
_cell_angle_alpha 90.00
_cell_angle_beta 90.00
_cell_angle_gamma 90.00
_space_group_name_H-M_alt 'P 4/m m m'
_space_group_IT_number 123
_space_group_name_Hall '-P 4 2'
loop_
_atom_site_label
_atom_site_type_symbol
_atom_site_fract_x
_atom_site_fract_y
_atom_site_fract_z
Sr1 Sr 0.000 0.000 0.000
Li1 Li 0.000 0.000 0.500
Hg1 Hg 0.500 0.500 0.500
Pd1 Pd 0.000 0.500 0.000
```

Properties
- Calculated formation energy: 78.0 kJ/mol of atoms

# 19
The following is a DFT calculation (PBEsol) of a geometry-optimized ScB4Ir3 structure.

```
data_ScB4Ir3
_cell_length_a 7.5323
_cell_length_b 7.5323
_cell_length_c 3.4630
_cell_angle_alpha 90.00
_cell_angle_beta 90.00
_cell_angle_gamma 120.00
_space_group_name_H-M_alt 'P 63/m'
_space_group_IT_number 176
_space_group_name_Hall '-P 6c'
loop_
_atom_site_label
_atom_site_type_symbol
_atom_site_fract_x
_atom_site_fract_y
_atom_site_fract_z
Sc1 Sc 0.3333 0.6667 0.2500
B1 B 0.0000 0.0000 0.0000
B2 B 0.0496 0.4514 0.7500
Ir1 Ir 0.0749 0.7478 0.7500
```

Properties
- Calculated formation energy: -60.5 kJ/mol of atoms

# 20
The following is a DFT calculation (PBEsol) of a geometry-optimized InCu4Ag structure.

```
data_InCu4Ag
_cell_length_a 6.922
_cell_length_b 6.922
_cell_length_c 6.922
_cell_angle_alpha 90.00
_cell_angle_beta 90.00
_cell_angle_gamma 90.00
_space_group_name_H-M_alt 'F -4 3 m'
_space_group_IT_number 216
_space_group_name_Hall 'F -4 2 3'
loop_
_atom_site_label
_atom_site_type_symbol
_atom_site_fract_x
_atom_site_fract_y
_atom_site_fract_z
In1 In 0.000 0.000 0.000
Cu1 Cu 0.125 0.125 0.375
Ag1 Ag 0.250 0.250 0.750
```

Properties
- Calculated formation energy: 0.6 kJ/mol of atoms

# 21
The following is a DFT calculation (PBEsol) of a geometry-optimized Mg2ZrPb structure.

```
data_Mg2ZrPb
_cell_length_a 3.301
_cell_length_b 4.260
_cell_length_c 6.406
_cell_angle_alpha 90.00
_cell_angle_beta 90.00
_cell_angle_gamma 90.00
_space_group_name_H-M_alt 'P m m 2'
_space_group_IT_number 25
loop_
_space_group_symop_operation_xyz
'x,y,z'
'-x,-y,z'
'-x,y,z'
'x,-y,z'
loop_
_atom_site_label
_atom_site_type_symbol
_atom_site_fract_x
_atom_site_fract_y
_atom_site_fract_z
Mg1 Mg 0.000 0.000 0.000
Mg2 Mg 0.500 0.500 0.235
Zr1 Zr 0.500 0.500 0.747
Pb1 Pb 0.000 0.000 0.505
```

Properties
- Calculated formation energy: -5.1 kJ/mol of atoms

# 22
The following is a DFT calculation (PBEsol) of a geometry-optimized Na2PRh2 structure.

```
data_Na2PRh2
_cell_length_a 5.884
_cell_length_b 5.884
_cell_length_c 4.956
_cell_angle_alpha 90.00
_cell_angle_beta 90.00
_cell_angle_gamma 90.00
_space_group_name_H-M_alt 'P 4/m b m'
_space_group_IT_number 127
_space_group_name_Hall '-P 4 2ab'
loop_
_atom_site_label
_atom_site_type_symbol
_atom_site_fract_x
_atom_site_fract_y
_atom_site_fract_z
Na1 Na 0.170 0.330 0.000
P1 P 0.000 0.000 0.500
Rh1 Rh 0.155 0.655 0.500
```

Properties
- Calculated formation energy: -34.6 kJ/mol of atoms

# 23
The following is a DFT calculation (PBEsol) of a geometry-optimized CoRe3F structure.

```
data_CoRe3F
_cell_length_a 4.067
_cell_length_b 4.067
_cell_length_c 4.067
_cell_angle_alpha 90.00
_cell_angle_beta 90.00
_cell_angle_gamma 90.00
_space_group_name_H-M_alt 'P m -3 m'
_space_group_IT_number 221
_space_group_name_Hall '-P 4 2 3'
loop_
_atom_site_label
_atom_site_type_symbol
_atom_site_fract_x
_atom_site_fract_y
_atom_site_fract_z
Co1 Co 0.000 0.000 0.000
Re1 Re 0.000 0.500 0.500
F1 F 0.500 0.500 0.500
```

Properties
- Energy relative to the elements, uncorrected: 1.47 eV/atom

# 24
The following is a DFT calculation (PBEsol) of a geometry-optimized DyYCu2 structure.

```
data_DyYCu2
_cell_length_a 6.822
_cell_length_b 6.822
_cell_length_c 6.822
_cell_angle_alpha 90.00
_cell_angle_beta 90.00
_cell_angle_gamma 90.00
_space_group_name_H-M_alt 'F m -3 m'
_space_group_IT_number 225
_space_group_name_Hall '-F 4 2 3'
loop_
_atom_site_label
_atom_site_type_symbol
_atom_site_fract_x
_atom_site_fract_y
_atom_site_fract_z
Dy1 Dy 0.000 0.000 0.000
Y1 Y 0.000 0.000 0.500
Cu1 Cu 0.250 0.250 0.250
```

Properties
- Calculated formation energy: -22.0 kJ/mol of atoms